SrSc2BI after structural relaxation, computed with PBE.

```
data_SrSc2BI
_cell_length_a 5.2659
_cell_length_b 6.0060
_cell_length_c 5.2659
_cell_angle_alpha 90.00
_cell_angle_beta 90.00
_cell_angle_gamma 90.00
_symmetry_space_group_name_H-M 'P 1'
_symmetry_Int_Tables_number 1
_symmetry_space_group_name_Hall 'P 1'
loop_
_atom_site_label
_atom_site_fract_x
_atom_site_fract_y
_atom_site_fract_z
_atom_site_occupancy
Sc1 0.5000 0.0000 0.0000 1
I1 0.0000 0.0000 0.0000 1
B1 0.5000 0.5000 0.5000 1
Sr1 0.0000 0.5000 0.0000 1
Sc2 0.0000 0.0000 0.5000 1
```

Calculated values
space group: P4/mmm, No. 123
total magnetization: 0.00 μB per cell
energy: -16.89 eV/f.u.
uncorrected formation energy: 1.137 eV/atom

***

Sc2TcBI after structural relaxation, computed with PBE.

```
data_Sc2TcBI
_cell_length_a 5.1573
_cell_length_b 4.0886
_cell_length_c 5.1573
_cell_angle_alpha 90.00
_cell_angle_beta 90.00
_cell_angle_gamma 90.00
_symmetry_space_group_name_H-M 'P 1'
_symmetry_Int_Tables_number 1
_symmetry_space_group_name_Hall 'P 1'
loop_
_atom_site_label
_atom_site_fract_x
_atom_site_fract_y
_atom_site_fract_z
_atom_site_occupancy
I1 0.5000 0.5000 0.5000 1
Sc1 0.5000 0.0000 0.0000 1
B1 0.0000 0.5000 0.0000 1
Tc1 0.0000 0.0000 0.0000 1
Sc2 0.0000 0.0000 0.5000 1
```

Calculated values
space group: P4/mmm, No. 123
total magnetization: 0.00 μB per cell
energy: -30.36 eV/f.u.
uncorrected formation energy: 0.179 eV/atom

***

ScBTe2I after structural relaxation, computed with PBE.

```
data_ScBTe2I
_cell_length_a 4.8850
_cell_length_b 4.8850
_cell_length_c 5.1309
_cell_angle_alpha 90.00
_cell_angle_beta 90.00
_cell_angle_gamma 90.00
_symmetry_space_group_name_H-M 'P 1'
_symmetry_Int_Tables_number 1
_symmetry_space_group_name_Hall 'P 1'
loop_
_atom_site_label
_atom_site_fract_x
_atom_site_fract_y
_atom_site_fract_z
_atom_site_occupancy
Sc1 0.5000 0.5000 0.5000 1
B1 0.0000 0.0000 0.0000 1
Te1 0.0000 0.5000 0.0000 1
I1 0.0000 0.0000 0.5000 1
Te2 0.5000 0.0000 0.0000 1
```

Calculated values
space group: P4/mmm, No. 123
total magnetization: 0.00 μB per cell
energy: -19.16 eV/f.u.
relative energy among the computed polymorphs: 0.000 eV/atom
uncorrected formation energy: 0.337 eV/atom

***

ScBTe2I after structural relaxation, computed with PBE.

```
data_ScBTe2I
_cell_length_a 5.5714
_cell_length_b 5.5714
_cell_length_c 5.6931
_cell_angle_alpha 90.00
_cell_angle_beta 90.00
_cell_angle_gamma 90.00
_symmetry_space_group_name_H-M 'P 1'
_symmetry_Int_Tables_number 1
_symmetry_space_group_name_Hall 'P 1'
loop_
_atom_site_label
_atom_site_fract_x
_atom_site_fract_y
_atom_site_fract_z
_atom_site_occupancy
Sc1 0.0000 0.0000 0.0000 1
I1 0.0000 0.0000 0.5000 1
Te1 0.5000 0.0000 0.0000 1
B1 0.5000 0.5000 0.5000 1
Te2 0.0000 0.5000 0.0000 1
```

Calculated values
space group: P4/mmm, No. 123
total magnetization: 0.00 μB per cell
energy: -17.86 eV/f.u.
relative energy among the computed polymorphs: 0.260 eV/atom
uncorrected formation energy: 0.597 eV/atom

***

YScBI2 after structural relaxation, computed with PBE.

```
data_YScBI2
_cell_length_a 5.8180
_cell_length_b 6.4967
_cell_length_c 5.8180
_cell_angle_alpha 90.00
_cell_angle_beta 90.00
_cell_angle_gamma 90.00
_symmetry_space_group_name_H-M 'P 1'
_symmetry_Int_Tables_number 1
_symmetry_space_group_name_Hall 'P 1'
loop_
_atom_site_label
_atom_site_fract_x
_atom_site_fract_y
_atom_site_fract_z
_atom_site_occupancy
I1 0.0000 0.0000 0.5000 1
I2 0.5000 0.0000 0.0000 1
B1 0.5000 0.5000 0.5000 1
Sc1 0.0000 0.5000 0.0000 1
Y1 0.0000 0.0000 0.0000 1
```

Calculated values
space group: P4/mmm, No. 123
total magnetization: 2.99 μB per cell
energy: -17.46 eV/f.u.
uncorrected formation energy: 1.023 eV/atom

***

ZrScBI2 after structural relaxation, computed with PBE.

```
data_ZrScBI2
_cell_length_a 5.5674
_cell_length_b 5.7239
_cell_length_c 5.5674
_cell_angle_alpha 90.00
_cell_angle_beta 90.00
_cell_angle_gamma 90.00
_symmetry_space_group_name_H-M 'P 1'
_symmetry_Int_Tables_number 1
_symmetry_space_group_name_Hall 'P 1'
loop_
_atom_site_label
_atom_site_fract_x
_atom_site_fract_y
_atom_site_fract_z
_atom_site_occupancy
I1 0.5000 0.0000 0.0000 1
Zr1 0.0000 0.0000 0.0000 1
I2 0.0000 0.0000 0.5000 1
Sc1 0.0000 0.5000 0.0000 1
B1 0.5000 0.5000 0.5000 1
```

Calculated values
space group: P4/mmm, No. 123
total magnetization: 1.65 μB per cell
energy: -18.83 eV/f.u.
uncorrected formation energy: 1.166 eV/atom

***

BSe2I2 after structural relaxation, computed with PBE.

```
data_BSe2I2
_cell_length_a 6.3111
_cell_length_b 6.8710
_cell_length_c 10.7031
_cell_angle_alpha 70.35
_cell_angle_beta 72.85
_cell_angle_gamma 62.66
_symmetry_space_group_name_H-M 'P 1'
_symmetry_Int_Tables_number 1
_symmetry_space_group_name_Hall 'P 1'
loop_
_atom_site_label
_atom_site_fract_x
_atom_site_fract_y
_atom_site_fract_z
_atom_site_occupancy
I1 0.3907 0.7775 0.4412 1
I2 0.8970 0.3152 0.8909 1
Se1 0.2769 0.1797 0.2666 1
I3 0.6093 0.2225 0.5588 1
Se2 0.5808 0.7522 0.0861 1
B1 0.5883 0.9297 0.8938 1
B2 0.4117 0.0703 0.1062 1
I4 0.1030 0.6848 0.1091 1
Se3 0.7231 0.8203 0.7334 1
Se4 0.4192 0.2478 0.9139 1
```

Calculated values
space group: C2/m, No. 12
total magnetization: 0.00 μB per cell
energy: -16.59 eV/f.u.
uncorrected formation energy: 0.032 eV/atom

***

BSeI3 after structural relaxation, computed with PBE.

```
data_BSeI3
_cell_length_a 5.7490
_cell_length_b 5.7490
_cell_length_c 5.7490
_cell_angle_alpha 90.00
_cell_angle_beta 90.00
_cell_angle_gamma 90.00
_symmetry_space_group_name_H-M 'P 1'
_symmetry_Int_Tables_number 1
_symmetry_space_group_name_Hall 'P 1'
loop_
_atom_site_label
_atom_site_fract_x
_atom_site_fract_y
_atom_site_fract_z
_atom_site_occupancy
I1 0.0000 0.0000 0.5000 1
I2 0.0000 0.5000 0.0000 1
Se1 0.0000 0.0000 0.0000 1
I3 0.5000 0.0000 0.0000 1
B1 0.5000 0.5000 0.5000 1
```

Calculated values
space group: Pm-3m, No. 221
total magnetization: 0.00 μB per cell
energy: -9.29 eV/f.u.
relative energy among the computed polymorphs: 0.158 eV/atom
uncorrected formation energy: 1.104 eV/atom

***

B2Se4I3 after structural relaxation, computed with PBE.

```
data_B2Se4I3
_cell_length_a 9.5417
_cell_length_b 9.3246
_cell_length_c 9.3296
_cell_angle_alpha 76.58
_cell_angle_beta 109.94
_cell_angle_gamma 109.88
_symmetry_space_group_name_H-M 'P 1'
_symmetry_Int_Tables_number 1
_symmetry_space_group_name_Hall 'P 1'
loop_
_atom_site_label
_atom_site_fract_x
_atom_site_fract_y
_atom_site_fract_z
_atom_site_occupancy
B1 0.5057 0.1179 0.4164 1
I1 0.1068 0.9900 0.8039 1
I2 0.7500 0.5270 0.4730 1
I3 0.2500 0.4730 0.5270 1
B2 0.0057 0.4164 0.1179 1
Se1 0.9943 0.7171 0.6873 1
Se2 0.9112 0.3569 0.9086 1
Se3 0.0057 0.2829 0.3127 1
Se4 0.4943 0.6873 0.7172 1
B3 0.4943 0.8821 0.5836 1
Se5 0.5887 0.0914 0.6431 1
Se6 0.0888 0.6431 0.0914 1
I4 0.3932 0.1961 0.0101 1
Se7 0.5057 0.3127 0.2828 1
I5 0.6068 0.8039 0.9899 1
Se8 0.4113 0.9086 0.3569 1
I6 0.8932 0.0100 0.1961 1
B4 0.9943 0.5836 0.8821 1
```

Calculated values
space group: C2/c, No. 15
total magnetization: 0.00 μB per cell
energy: -31.87 eV/f.u.
uncorrected formation energy: 0.009 eV/atom

***

BSe3I after structural relaxation, computed with PBE.

```
data_BSe3I
_cell_length_a 7.0063
_cell_length_b 7.9825
_cell_length_c 9.1571
_cell_angle_alpha 123.69
_cell_angle_beta 85.14
_cell_angle_gamma 113.37
_symmetry_space_group_name_H-M 'P 1'
_symmetry_Int_Tables_number 1
_symmetry_space_group_name_Hall 'P 1'
loop_
_atom_site_label
_atom_site_fract_x
_atom_site_fract_y
_atom_site_fract_z
_atom_site_occupancy
I1 0.4913 0.6451 0.2268 1
Se1 0.8501 0.9186 0.8506 1
I2 0.2759 0.1230 0.5643 1
Se2 0.2516 0.7758 0.9334 1
Se3 0.3031 0.2519 0.1830 1
B1 0.4775 0.0729 0.1339 1
Se4 0.6072 0.1184 0.3479 1
Se5 0.7938 0.2003 0.1192 1
B2 0.1495 0.9922 0.9236 1
Se6 0.2999 0.9018 0.7174 1
```

Calculated values
space group: P1, No. 1
total magnetization: 0.00 μB per cell
energy: -18.75 eV/f.u.
relative energy among the computed polymorphs: 0.000 eV/atom
uncorrected formation energy: -0.013 eV/atom

***

BSeI3 after structural relaxation, computed with PBE.

```
data_BSeI3
_cell_length_a 5.0975
_cell_length_b 5.0975
_cell_length_c 5.0975
_cell_angle_alpha 90.00
_cell_angle_beta 90.00
_cell_angle_gamma 90.00
_symmetry_space_group_name_H-M 'P 1'
_symmetry_Int_Tables_number 1
_symmetry_space_group_name_Hall 'P 1'
loop_
_atom_site_label
_atom_site_fract_x
_atom_site_fract_y
_atom_site_fract_z
_atom_site_occupancy
I1 0.5000 0.0000 0.0000 1
I2 0.0000 0.0000 0.5000 1
I3 0.0000 0.5000 0.0000 1
Se1 0.5000 0.5000 0.5000 1
B1 0.0000 0.0000 0.0000 1
```

Calculated values
space group: Pm-3m, No. 221
total magnetization: 0.00 μB per cell
energy: -10.09 eV/f.u.
relative energy among the computed polymorphs: 0.000 eV/atom
uncorrected formation energy: 0.945 eV/atom

***

B2SeI after structural relaxation, computed with PBE.

```
data_B2SeI
_cell_length_a 4.5244
_cell_length_b 4.5244
_cell_length_c 4.5244
_cell_angle_alpha 60.00
_cell_angle_beta 60.00
_cell_angle_gamma 60.00
_symmetry_space_group_name_H-M 'P 1'
_symmetry_Int_Tables_number 1
_symmetry_space_group_name_Hall 'P 1'
loop_
_atom_site_label
_atom_site_fract_x
_atom_site_fract_y
_atom_site_fract_z
_atom_site_occupancy
B1 0.7500 0.7500 0.7500 1
Se1 0.0000 0.0000 0.0000 1
B2 0.2500 0.2500 0.2500 1
I1 0.5000 0.5000 0.5000 1
```

Calculated values
space group: Fm-3m, No. 225
total magnetization: 0.00 μB per cell
energy: -10.42 eV/f.u.
relative energy among the computed polymorphs: 0.713 eV/atom
uncorrected formation energy: 1.991 eV/atom

***

B2SeI after structural relaxation, computed with PBE.

```
data_B2SeI
_cell_length_a 5.9667
_cell_length_b 5.9667
_cell_length_c 5.7491
_cell_angle_alpha 58.74
_cell_angle_beta 58.74
_cell_angle_gamma 90.00
_symmetry_space_group_name_H-M 'P 1'
_symmetry_Int_Tables_number 1
_symmetry_space_group_name_Hall 'P 1'
loop_
_atom_site_label
_atom_site_fract_x
_atom_site_fract_y
_atom_site_fract_z
_atom_site_occupancy
B1 0.8750 0.8231 0.7500 1
I1 0.7500 0.2500 0.5000 1
Se1 0.5000 0.5000 0.0000 1
B2 0.3750 0.4269 0.7500 1
B3 0.5731 0.1250 0.2500 1
I2 0.0000 0.0000 0.0000 1
Se2 0.2500 0.7500 0.5000 1
B4 0.1769 0.6250 0.2500 1
```

Calculated values
space group: I-42d, No. 122
total magnetization: 0.00 μB per cell
energy: -13.28 eV/f.u.
relative energy among the computed polymorphs: 0.000 eV/atom
uncorrected formation energy: 1.278 eV/atom